#w
SrVTe2N: optimized geometry, PBE-GGA.

Results
space group: P4/mmm

Cell: 6.149 6.149 4.708 Å, 90.00 90.00 90.00°
Atoms (fractional coordinates):
Sr 0.000 0.000 0.000
V 0.500 0.500 0.500
Te 0.000 0.500 0.000
Te 0.500 0.000 0.000
N 0.000 0.000 0.500



#x
SrVTe2N: optimized geometry, PBE-GGA.

Results
space group: P4/mmm

Cell: 5.668 5.668 3.732 Å, 90.00 90.00 90.00°
Atoms (fractional coordinates):
Sr 0.000 0.000 0.000
V 0.500 0.500 0.500
Te 0.000 0.500 0.500
Te 0.500 0.000 0.500
N 0.500 0.500 0.000



Q: What are the energies relative to the best structure? A: #w 1660; #x 0, in meV/atom.